Sr2ZrAlTl | GGA-PBE | optimized geometry

extended XYZ file:
```
5
Lattice="-2.668 2.572 -4.783 -2.337 -4.546 -1.141 -4.712 1.553 3.464" Properties=species:S:1:pos:R:3 pbc="T T T"
Tl -4.858 -0.210 -1.230
Sr -2.356 0.776 1.732
Sr -1.334 1.286 -2.391
Al 0.000 0.000 0.000
Zr -1.168 -2.273 -0.571
```

Computed properties:
density	4.311	g/cm3
formation enthalpy at 0 K	0.402	eV per atom
excess energy over the best structure of this formula in the dataset	0.0	meV/atom